NbCuF3: optimized geometry, PBE.

The structure in POSCAR format:
```
NbCuF3
1.0
4.250 0.000 0.000
0.000 4.250 0.000
0.000 0.000 4.250
Nb Cu F
1 1 3
Cartesian
0.000 0.000 0.000
2.125 2.125 2.125
0.000 0.000 2.125
0.000 2.125 0.000
2.125 0.000 0.000
```

Output
raw total energy	-26.85	eV for the cell shown
formation energy from raw total energies	-1.4138	eV/atom
space-group type	Pm-3m, No. 221


KCdGa2Br: optimized geometry, PBE.

The structure in POSCAR format:
```
KCdGa2Br
1.0
5.183 0.000 0.000
0.000 5.183 0.000
0.000 0.000 6.616
K Cd Ga Br
1 1 2 1
Cartesian
0.000 0.000 0.000
2.592 2.592 3.308
0.000 2.592 3.308
2.592 0.000 3.308
2.592 2.592 0.000
```

Output
raw total energy	-10.58	eV for the cell shown
formation energy from raw total energies	-0.1689	eV/atom
space-group type	P4/mmm, No. 123


Rb2NaH2: optimized geometry, PBE.

The structure in POSCAR format:
```
Rb2NaH2
1.0
8.876 0.000 0.000
0.000 8.876 0.000
0.000 0.000 3.561
Rb Na H
4 2 4
Cartesian
1.255 3.183 0.000
3.183 7.621 0.000
5.693 1.255 0.000
7.621 5.693 0.000
0.000 0.000 0.000
4.438 4.438 0.000
1.295 5.733 1.781
3.143 1.295 1.781
5.733 7.581 1.781
7.581 3.143 1.781
```

Output
raw total energy	-18.56	eV for the cell shown
space-group type	P4/mbm, No. 127


ScCu2HPt: optimized geometry, PBE.

The structure in POSCAR format:
```
ScCu2HPt
1.0
3.849 0.000 0.000
0.000 3.849 0.000
0.000 0.000 4.208
Sc Cu H Pt
1 2 1 1
Cartesian
0.000 0.000 0.000
0.000 1.924 2.104
1.924 0.000 2.104
0.000 0.000 2.104
1.924 1.924 0.000
```

Output
raw total energy	-25.90	eV for the cell shown
space-group type	P4/mmm, No. 123


AcNdCu: optimized geometry, PBE.

The structure in POSCAR format:
```
AcNdCu
1.0
6.815 -1.871 0.000
6.815 1.871 0.000
-2.171 0.000 7.146
Ac Nd Cu
2 2 2
Cartesian
1.772 0.000 0.552
9.687 0.000 6.595
0.586 0.000 4.018
10.874 0.000 3.128
6.138 0.000 1.896
5.322 0.000 5.250
```

Output
raw total energy	-26.22	eV for the cell shown
energy of formation	-1.062	kcal/mol of atoms
space-group type	C2/m, No. 12


NaPb3F7: optimized geometry, PBE.

The structure in POSCAR format:
```
NaPb3F7
1.0
4.158 -5.852 0.000
4.158 5.852 0.000
0.000 0.000 8.294
Na Pb F
2 6 14
Cartesian
0.000 0.000 0.000
0.000 0.000 4.147
2.236 3.129 6.221
6.080 3.129 6.221
4.158 0.000 0.000
4.158 0.000 4.147
2.236 -3.129 2.074
6.080 -3.129 2.074
4.158 4.622 6.221
1.954 1.457 4.316
1.954 1.457 8.125
1.954 -1.457 0.169
1.954 -1.457 3.978
4.158 1.571 6.221
4.158 1.456 2.074
4.158 -1.456 6.221
4.158 -1.571 2.074
6.362 1.457 4.316
6.362 1.457 8.125
6.362 -1.457 0.169
6.362 -1.457 3.978
4.158 -4.622 2.074
```

Output
raw total energy	-104.58	eV for the cell shown
formation energy from raw total energies	-2.4315	eV/atom
space-group type	Cmcm, No. 63


CrFe4Cu: optimized geometry, PBE.

The structure in POSCAR format:
```
CrFe4Cu
1.0
0.000 3.300 3.300
3.300 0.000 3.300
3.300 3.300 0.000
Cr Fe Cu
1 4 1
Cartesian
0.000 0.000 0.000
2.478 2.478 2.478
4.123 4.123 2.478
4.123 2.478 4.123
2.478 4.123 4.123
4.951 4.951 4.951
```

Output
raw total energy	-46.54	eV for the cell shown
energy of formation	3.979	kcal/mol of atoms
space-group type	F-43m, No. 216


NpCu2Ag2Se4: optimized geometry, PBE.

The structure in POSCAR format:
```
NpCu2Ag2Se4
1.0
7.330 -2.024 0.000
7.330 2.024 0.000
-4.088 0.000 6.632
Np Cu Ag Se
1 2 2 4
Cartesian
0.000 0.000 0.000
4.584 0.000 0.067
5.988 0.000 6.565
0.071 0.000 3.389
10.501 0.000 3.243
2.476 0.000 1.425
4.202 0.000 4.893
6.370 0.000 1.739
8.096 0.000 5.207
```

Output
raw total energy	-44.46	eV for the cell shown
formation energy from raw total energies	-0.4101	eV/atom
space-group type	C2/m, No. 12


Li2TaPt: optimized geometry, PBE.

The structure in POSCAR format:
```
Li2TaPt
1.0
-3.544 3.544 2.557
3.544 -3.544 2.557
3.544 3.544 -2.557
Li Ta Pt
4 2 2
Cartesian
5.316 1.540 -0.639
1.540 1.772 0.639
-1.772 2.004 1.918
2.004 1.772 3.196
3.544 0.000 1.279
0.000 0.000 2.557
0.000 0.000 0.000
0.000 3.544 1.279
```

Output
raw total energy	-40.59	eV for the cell shown
energy of formation	8.229	kcal/mol of atoms
space-group type	I-42d, No. 122


VMo3H: optimized geometry, PBE.

The structure in POSCAR format:
```
VMo3H
1.0
4.513 0.000 0.000
0.000 4.513 0.000
0.000 0.000 4.513
V Mo H
1 3 1
Cartesian
0.000 0.000 0.000
0.000 0.000 2.256
0.000 2.256 0.000
2.256 0.000 0.000
2.256 2.256 2.256
```

Output
raw total energy	-34.66	eV for the cell shown
space-group type	Pm-3m, No. 221


SrInPO2: optimized geometry, PBE.

The structure in POSCAR format:
```
SrInPO2
1.0
4.354 0.000 0.000
0.000 4.354 0.000
0.000 0.000 5.046
Sr In P O
1 1 1 2
Cartesian
0.000 0.000 0.000
2.177 2.177 2.523
2.177 2.177 0.000
0.000 2.177 2.523
2.177 0.000 2.523
```

Output
raw total energy	-23.66	eV for the cell shown
formation energy from raw total energies	-0.7828	eV/atom
space-group type	P4/mmm, No. 123


Sb2Au: optimized geometry, PBE.

The structure in POSCAR format:
```
Sb2Au
1.0
-1.625 1.625 6.944
1.625 -1.625 6.944
1.625 1.625 -6.944
Sb Au
2 1
Cartesian
0.000 0.000 2.068
0.000 0.000 11.820
0.000 0.000 6.944
```

Output
raw total energy	-10.98	eV for the cell shown
formation energy from raw total energies	0.1803	eV/atom
space-group type	I4/mmm, No. 139


AlPtSe2: optimized geometry, PBE.

The structure in POSCAR format:
```
AlPtSe2
1.0
1.811 1.046 7.618
-1.811 1.046 7.618
0.000 -2.091 7.618
Al Pt Se
1 1 2
Cartesian
0.000 0.000 0.000
0.000 0.000 11.427
0.000 0.000 9.037
0.000 0.000 13.817
```

Output
raw total energy	-17.83	eV for the cell shown
formation energy from raw total energies	-0.2699	eV/atom
space-group type	R-3m, No. 166


LaSm4Pd2: optimized geometry, PBE.

The structure in POSCAR format:
```
LaSm4Pd2
1.0
7.835 0.000 0.000
0.000 6.677 0.000
-3.175 0.000 7.722
La Sm Pd
2 8 4
Cartesian
1.038 1.669 0.202
3.623 5.008 7.520
-1.054 1.669 3.030
0.781 5.008 2.710
0.721 0.050 5.908
0.721 3.288 5.908
3.940 3.389 1.814
3.940 6.627 1.814
3.879 1.669 5.013
5.714 5.008 4.692
-1.120 5.008 7.699
1.723 1.669 3.177
2.938 5.008 4.545
5.780 1.669 0.024
```

Output
raw total energy	-73.74	eV for the cell shown
energy of formation	-8.831	kcal/mol of atoms
space-group type	P2_1/m, No. 11


Nd2SmHgC: optimized geometry, PBE.

The structure in POSCAR format:
```
Nd2SmHgC
1.0
5.114 0.000 0.000
0.000 5.114 0.000
0.000 0.000 5.013
Nd Sm Hg C
2 1 1 1
Cartesian
0.000 2.557 0.000
2.557 0.000 0.000
0.000 0.000 2.507
2.557 2.557 2.507
0.000 0.000 0.000
```

Output
raw total energy	-24.89	eV for the cell shown
energy of formation	-5.128	kcal/mol of atoms
space-group type	P4/mmm, No. 123


P2RuNO: optimized geometry, PBE.

The structure in POSCAR format:
```
P2RuNO
1.0
3.646 0.000 0.000
1.596 3.960 0.000
0.312 0.272 4.312
P Ru N O
2 1 1 1
Cartesian
0.000 0.000 0.000
2.598 1.907 2.008
3.703 3.852 2.939
1.684 3.215 1.542
3.416 1.549 0.608
```

Output
raw total energy	-36.08	eV for the cell shown
formation energy from raw total energies	-0.5411	eV/atom
space-group type	P1, No. 1


LiTmCdGe: optimized geometry, PBE.

The structure in POSCAR format:
```
LiTmCdGe
1.0
0.000 3.458 3.458
3.458 0.000 3.458
3.458 3.458 0.000
Li Tm Cd Ge
1 1 1 1
Cartesian
0.000 0.000 0.000
3.458 3.458 3.458
1.729 1.729 1.729
5.187 5.187 5.187
```

Output
raw total energy	-13.52	eV for the cell shown
energy of formation	-9.264	kcal/mol of atoms
space-group type	F-43m, No. 216


MgC3: optimized geometry, PBE.

The structure in POSCAR format:
```
MgC3
1.0
3.196 1.845 1.067
-3.196 1.845 1.067
0.000 -3.691 1.067
Mg C
1 3
Cartesian
0.000 0.000 0.000
-1.598 -0.923 1.067
-1.598 0.923 2.135
0.000 1.845 1.067
```

Output
raw total energy	-18.16	eV for the cell shown
energy of formation	64.005	kcal/mol of atoms
space-group type	R-3m, No. 166


Ca2VSiSb: optimized geometry, PBE.

The structure in POSCAR format:
```
Ca2VSiSb
1.0
5.793 0.000 0.000
0.000 5.793 0.000
0.000 0.000 5.024
Ca V Si Sb
2 1 1 1
Cartesian
0.000 2.896 0.000
2.896 0.000 0.000
0.000 0.000 2.512
2.896 2.896 2.512
0.000 0.000 0.000
```

Output
raw total energy	-20.59	eV for the cell shown
formation energy from raw total energies	0.4158	eV/atom
space-group type	P4/mmm, No. 123


KSn3Cl8: optimized geometry, PBE.

The structure in POSCAR format:
```
KSn3Cl8
1.0
5.398 0.000 0.000
2.697 8.621 0.000
2.667 3.877 8.989
K Sn Cl
1 3 8
Cartesian
0.000 0.000 0.000
2.704 3.736 0.040
5.372 9.771 4.529
5.360 4.555 4.691
2.664 3.966 5.089
2.711 5.516 1.751
5.370 9.648 7.225
2.693 1.506 1.777
5.371 7.174 4.225
5.364 4.728 7.232
8.071 10.006 4.522
8.066 7.273 8.809
```

Output
raw total energy	-41.23	eV for the cell shown
formation energy from raw total energies	-1.1129	eV/atom
space-group type	P1, No. 1